[1]
# GGA-PBE LiPm3Te3, optimized geometry
# **Formation energy from raw total energies**: -1.19 eV per atom
# **DFT total energy**: -4.84 eV per atom
# **Total magnetization**: 0.0 Bohr magnetons per cell
data_LiPm3Te3
_cell_length_a 12.524
_cell_length_b 4.466
_cell_length_c 14.252
_cell_angle_alpha 90.00
_cell_angle_beta 90.00
_cell_angle_gamma 90.00
_space_group_name_H-M_alt 'P n m a'
_space_group_IT_number 62
_space_group_name_Hall '-P 2ac 2n'
loop_
_atom_site_label
_atom_site_type_symbol
_atom_site_fract_x
_atom_site_fract_y
_atom_site_fract_z
Li1 Li 0.058 0.250 0.187
Pm1 Pm 0.052 0.250 0.611
Pm2 Pm 0.139 0.750 0.992
Pm3 Pm 0.220 0.750 0.272
Te1 Te 0.044 0.250 0.846
Te2 Te 0.128 0.250 0.403
Te3 Te 0.237 0.750 0.618

[2]
# GGA-PBE LiPmTe, optimized geometry
# **Formation energy from raw total energies**: -0.65 eV per atom
# **ΔE to the lowest computed polymorph**: 319 meV/atom
# **DFT total energy**: -3.92 eV per atom
# **Total magnetization**: 0.0 Bohr magnetons per cell
data_LiPmTe
_cell_length_a 4.170
_cell_length_b 4.170
_cell_length_c 9.045
_cell_angle_alpha 90.00
_cell_angle_beta 90.00
_cell_angle_gamma 90.00
_space_group_name_H-M_alt 'I 4 m m'
_space_group_IT_number 107
_space_group_name_Hall 'I 4 -2'
loop_
_atom_site_label
_atom_site_type_symbol
_atom_site_fract_x
_atom_site_fract_y
_atom_site_fract_z
Li1 Li 0.000 0.000 0.000
Pm1 Pm 0.000 0.000 0.349
Te1 Te 0.000 0.000 0.699